(1)
Below is a geometry-optimized Be3AlAu4 structure, with properties calculated at the PBE level.

Calculated values
* DFT formation energy: -142 meV/atom
* calculated volume: 112.1 Å³/f.u.
* final energy: -3.645 eV/atom
* spin magnetization: 0.000 μB/cell

a b c (Å): 4.266 4.266 7.524
angles (deg): 73.53 73.53 60.00
Atoms (fractional coordinates):
Al1 0.000 0.000 0.000
Be1 0.752 0.752 0.745
Be2 0.248 0.248 0.255
Be3 0.500 0.500 0.500
Au1 0.382 0.382 0.854
Au2 0.129 0.129 0.614
Au3 0.618 0.618 0.146
Au4 0.871 0.871 0.386

***

(2)
Below is a geometry-optimized BeAl2Au structure, with properties calculated at the PBE level.

Calculated values
* DFT formation energy: -121 meV/atom
* calculated volume: 60.7 Å³/f.u.
* final energy: -3.743 eV/atom
* spin magnetization: 0.000 μB/cell

a b c (Å): 3.939 3.243 5.025
angles (deg): 70.91 90.00 90.00
Atoms (fractional coordinates):
Au1 0.000 0.693 0.488
Be1 0.500 0.547 0.782
Al1 0.500 0.294 0.292
Al2 0.000 0.966 0.938

***

(3)
Below is a geometry-optimized BeAlAu3 structure, with properties calculated at the PBE level.

Calculated values
* DFT formation energy: -192 meV/atom
* calculated volume: 77.7 Å³/f.u.
* final energy: -3.652 eV/atom
* spin magnetization: 0.000 μB/cell
* ΔE to the lowest computed polymorph: 0 meV per atom

a b c (Å): 4.364 4.354 8.474
angles (deg): 89.99 74.87 89.97
Atoms (fractional coordinates):
Au1 0.955 0.344 0.806
Au2 0.456 0.844 0.809
Au3 0.139 0.344 0.436
Au4 0.636 0.844 0.438
Au5 0.775 0.344 0.177
Au6 0.272 0.845 0.179
Al1 0.862 0.844 0.998
Al2 0.549 0.344 0.616
Be1 0.357 0.345 0.011
Be2 0.055 0.844 0.603

***

(4)
Below is a geometry-optimized Be2AlAu2 structure, with properties calculated at the PBE level.

Calculated values
* DFT formation energy: -162 meV/atom
* calculated volume: 71.1 Å³/f.u.
* final energy: -3.712 eV/atom
* spin magnetization: 0.000 μB/cell
* ΔE to the lowest computed polymorph: 0 meV per atom

a b c (Å): 3.358 3.358 6.737
angles (deg): 75.57 75.57 90.00
Atoms (fractional coordinates):
Be1 0.250 0.750 0.500
Be2 0.750 0.250 0.500
Au1 0.385 0.385 0.230
Au2 0.615 0.615 0.770
Al1 0.000 0.000 0.000

***

Q: Which value of calculated volume does entry 3 give?
A: 77.7 Å³/f.u.

***

Q: Look up the DFT formation energy of the first one.
A: -142 meV/atom

***

Q: The lowest final energy belongs to which entry?
A: BeAl2Au

***

Q: spin magnetization of number 4 (Be2AlAu2)?
A: 0.000 μB/cell